1.
VASP calculation (PBE-GGA) on an optimized crystal structure of PmPuRuPt.

a = 6.9774 Å, b = 6.9774 Å, c = 6.9774 Å
α = 90.00°, β = 90.00°, γ = 90.00°
Space group F-43m (No. 216)
Symmetry-distinct sites (fractional):
Pm 0.0000 0.0000 0.0000
Pu 0.0000 0.0000 0.5000
Ru 0.2500 0.2500 0.7500
Pt 0.2500 0.2500 0.2500

**DFT formation energy**: -465 meV per atom



2.
VASP calculation (PBE-GGA) on an optimized crystal structure of PmPuSiPt.

a = 7.1431 Å, b = 7.1431 Å, c = 7.1431 Å
α = 90.00°, β = 90.00°, γ = 90.00°
Space group F-43m (No. 216)
Symmetry-distinct sites (fractional):
Pm 0.0000 0.0000 0.0000
Pu 0.0000 0.0000 0.5000
Si 0.2500 0.2500 0.7500
Pt 0.2500 0.2500 0.2500

**Final energy**: -32.83 eV per formula unit



3.
VASP calculation (PBE-GGA) on an optimized crystal structure of PmPu2Si2Pt7.

a = 5.8101 Å, b = 5.7380 Å, c = 13.9304 Å
α = 90.00°, β = 98.09°, γ = 90.00°
Space group C2/m (No. 12)
Symmetry-distinct sites (fractional):
Pm 0.0000 0.0000 0.0000
Pu 0.1071 0.0000 0.3635
Si 0.0878 0.5000 0.2551
Pt 0.0000 0.5000 0.0000
Pt 0.1218 0.5000 0.4252
Pt 0.1941 0.2505 0.8367

**Final energy**: -97.42 eV per formula unit